1.
DFT (GGA-PBE) results for BSeBr2N after structural relaxation.

Cell and atoms, written as POSCAR:
```
BSeBr2N
1.0
4.9201 0.0000 0.0000
0.0000 4.9201 0.0000
0.0000 0.0000 4.2794
B Se Br N
1 1 2 1
Cartesian
0.0000 0.0000 0.0000
0.0000 0.0000 2.1397
0.0000 2.4600 0.0000
2.4600 0.0000 0.0000
2.4600 2.4600 2.1397
```

Uncorrected formation energy (eV per atom): 1.5889
Relative energy among the computed polymorphs (eV per atom): 0.000
Space-group type: P4/mmm

***

2.
DFT (GGA-PBE) results for Al2AgAu after structural relaxation.

Cell and atoms, written as POSCAR:
```
Al2AgAu
1.0
8.7440 0.0000 0.0000
0.0000 3.1312 0.0000
-0.8063 0.0000 4.9917
Al Ag Au
4 2 2
Cartesian
1.9636 0.0000 1.2220
1.6021 1.5656 3.7697
6.3356 1.5656 1.2220
5.9741 0.0000 3.7697
-0.4032 0.0000 2.4959
3.9688 1.5656 2.4959
0.0000 1.5656 0.0000
4.3720 0.0000 0.0000
```

Space-group type: C2/m
DFT formation energy (eV/atom): -0.166